Record 1
The following is a PBE calculation of crystalline IrPdN2 at its relaxed geometry, from Alexandria via LeMat-Bulk.

Lattice parameters (Å, degrees): 3.9008 3.9008 3.9008 60.00 60.00 60.00
Element x y z (fractional)
Ir: 0.0000 0.0000 0.0000
Pd: 0.5000 0.5000 0.5000
N: 0.2500 0.2500 0.2500
N: 0.7500 0.7500 0.7500

Output
**Raw total energy**: -6.059 eV/atom
**Crystal system**: cubic
**Formation energy from raw total energies**: 1.62 eV per atom
**SG**: Fm-3m (225)
**Magnetization**: 0.000 μB/atom
**D(E_F)**: 5.98 states/eV/cell



Record 2
The following is a PBE calculation of crystalline LaScSi at its relaxed geometry, from Alexandria via LeMat-Bulk.

Lattice parameters (Å, degrees): 8.6468 8.6468 8.6468 150.96 150.96 41.53
Element x y z (fractional)
La: 0.1764 0.1764 0.0000
La: 0.8236 0.8236 0.0000
Sc: 0.0000 0.5000 0.5000
Sc: 0.5000 0.0000 0.5000
Si: 0.3817 0.3817 0.0000
Si: 0.6183 0.6183 0.0000

Output
**Raw total energy**: -6.183 eV/atom
**Crystal system**: tetragonal
**Formation energy from raw total energies**: -0.62 eV per atom
**SG**: I4/mmm (139)
**Magnetization**: 0.211 μB/atom
**D(E_F)**: 5.99 states/eV/cell



Record 3
The following is a PBE calculation of crystalline KNiCl6 at its relaxed geometry, from Alexandria via LeMat-Bulk.

Lattice parameters (Å, degrees): 6.5714 6.5714 7.4540 123.44 123.44 66.50
Element x y z (fractional)
K: 0.0000 0.0000 0.0000
Ni: 0.5000 0.5000 0.5000
Cl: 0.1259 0.5965 0.2366
Cl: 0.3269 0.3269 0.5594
Cl: 0.4035 0.8741 0.7634
Cl: 0.5965 0.1259 0.2366
Cl: 0.6731 0.6731 0.4406
Cl: 0.8741 0.4035 0.7634

Output
**Raw total energy**: -2.875 eV/atom
**Crystal system**: monoclinic
**Formation energy from raw total energies**: -0.63 eV per atom
**SG**: C2/m (12)
**Magnetization**: 0.051 μB/atom
**D(E_F)**: 8.86 states/eV/cell



Record 4
The following is a PBE calculation of crystalline SbAsIr2 at its relaxed geometry, from Alexandria via LeMat-Bulk.

Lattice parameters (Å, degrees): 4.0812 4.0812 6.2227 100.61 100.61 44.69
Element x y z (fractional)
Sb: 0.0000 0.0000 0.0000
As: 0.5000 0.5000 0.5000
Ir: 0.2411 0.2411 0.7033
Ir: 0.7589 0.7589 0.2967

Output
**Raw total energy**: -6.473 eV/atom
**Crystal system**: monoclinic
**Formation energy from raw total energies**: 0.15 eV per atom
**SG**: C2/m (12)
**Magnetization**: 0.000 μB/atom
**D(E_F)**: 2.16 states/eV/cell



Record 5
The following is a PBE calculation of crystalline BaLiMg2Zn at its relaxed geometry, from Alexandria via LeMat-Bulk.

Lattice parameters (Å, degrees): 5.2099 5.2099 5.3003 90.00 90.00 90.00
Element x y z (fractional)
Ba: 0.0000 0.0000 0.0000
Li: 0.5000 0.5000 0.0000
Mg: 0.0000 0.5000 0.5000
Mg: 0.5000 0.0000 0.5000
Zn: 0.5000 0.5000 0.5000

Output
**Raw total energy**: -1.670 eV/atom
**Crystal system**: tetragonal
**Formation enthalpy at 0 K**: -0.010 eV per atom
**SG**: P4/mmm (123)
**Magnetization**: 0.000 μB/atom
**D(E_F)**: 3.11 states/eV/cell



Record 6
The following is a PBE calculation of crystalline Hf5UN4 at its relaxed geometry, from Alexandria via LeMat-Bulk.

Lattice parameters (Å, degrees): 7.2341 7.2341 6.5535 103.36 103.36 25.97
Element x y z (fractional)
Hf: 0.0000 0.0000 0.0000
Hf: 0.3296 0.3296 0.1722
Hf: 0.3317 0.3317 0.6579
Hf: 0.6683 0.6683 0.3421
Hf: 0.6704 0.6704 0.8278
U: 0.0000 0.0000 0.5000
N: 0.1689 0.1689 0.5823
N: 0.4985 0.4985 0.2377
N: 0.5015 0.5015 0.7623
N: 0.8311 0.8311 0.4177

Output
**Raw total energy**: -10.779 eV/atom
**Crystal system**: monoclinic
**Formation energy from raw total energies**: -1.34 eV per atom
**SG**: C2/m (12)
**Magnetization**: 0.024 μB/atom
**D(E_F)**: 6.54 states/eV/cell



Record 7
The following is a PBE calculation of crystalline Ba3LaMo at its relaxed geometry, from Alexandria via LeMat-Bulk.

Lattice parameters (Å, degrees): 5.9424 5.9424 5.9424 90.00 90.00 90.00
Element x y z (fractional)
Ba: 0.0000 0.0000 0.5000
Ba: 0.0000 0.5000 0.0000
Ba: 0.5000 0.0000 0.0000
La: 0.5000 0.5000 0.5000
Mo: 0.0000 0.0000 0.0000

Output
**Raw total energy**: -3.423 eV/atom
**Crystal system**: cubic
**Formation enthalpy at 0 K**: 0.882 eV per atom
**SG**: Pm-3m (221)
**Magnetization**: 0.000 μB/atom
**D(E_F)**: 8.77 states/eV/cell



Record 8
The following is a PBE calculation of crystalline AlSe3 at its relaxed geometry, from Alexandria via LeMat-Bulk.

Lattice parameters (Å, degrees): 4.9424 4.9424 4.9424 90.00 90.00 90.00
Element x y z (fractional)
Al: 0.0000 0.0000 0.0000
Se: 0.0000 0.0000 0.5000
Se: 0.0000 0.5000 0.0000
Se: 0.5000 0.0000 0.0000

Output
**Raw total energy**: -3.379 eV/atom
**Crystal system**: cubic
**Formation energy from raw total energies**: 0.17 eV per atom
**SG**: Pm-3m (221)
**Magnetization**: 0.301 μB/atom
**D(E_F)**: 5.50 states/eV/cell